The following is a DFT calculation (GGA-PBE) of crystalline TiCrAgPd2 at its relaxed geometry.

a b c (Å): 4.507 4.507 4.795
angles (deg): 90.00 90.00 90.00
Element x y z (fractional)
1 Ti 0.000 0.000 0.000
2 Cr 0.500 0.500 0.500
3 Ag 0.500 0.500 0.000
4 Pd 0.000 0.500 0.500
5 Pd 0.500 0.000 0.500

Properties
* total magnetization: 0.2 μB per formula unit
* final energy: -25.679 eV for the cell shown

***

The following is a DFT calculation (GGA-PBE) of crystalline BaZrAg2 at its relaxed geometry.

a b c (Å): 3.627 3.627 8.076
angles (deg): 90.00 90.00 90.00
Element x y z (fractional)
1 Ba 0.000 0.000 0.000
2 Zr 0.500 0.500 0.344
3 Ag 0.000 0.000 0.532
4 Ag 0.500 0.500 0.707

Properties
* total magnetization: 0.4 μB per formula unit
* final energy: -15.413 eV for the cell shown
* energy above the most stable polymorph in this dataset: 70 kJ/mol of formula units

***

The following is a DFT calculation (GGA-PBE) of crystalline SrCd2Br at its relaxed geometry.

a b c (Å): 9.381 9.381 9.381
angles (deg): 25.50 25.50 25.50
Element x y z (fractional)
1 Sr 0.000 0.000 0.000
2 Cd 0.242 0.242 0.242
3 Cd 0.758 0.758 0.758
4 Br 0.500 0.500 0.500

Properties
* total magnetization: 0.0 μB per formula unit
* final energy: -6.609 eV for the cell shown
* energy above the most stable polymorph in this dataset: 129 kJ/mol of formula units
* uncorrected formation energy: -0.36 eV per atom

***

The following is a DFT calculation (GGA-PBE) of crystalline KSr2Au3 at its relaxed geometry.

a b c (Å): 3.912 3.912 11.774
angles (deg): 90.00 90.00 90.00
Element x y z (fractional)
1 K 0.000 0.000 0.000
2 Sr 0.000 0.000 0.341
3 Sr 0.000 0.000 0.659
4 Au 0.500 0.500 0.199
5 Au 0.500 0.500 0.500
6 Au 0.500 0.500 0.801

Properties
* total magnetization: 0.0 μB per formula unit
* final energy: -17.928 eV for the cell shown

***

The following is a DFT calculation (GGA-PBE) of crystalline RbSbTe2F at its relaxed geometry.

a b c (Å): 5.726 5.726 4.529
angles (deg): 90.00 90.00 90.00
Element x y z (fractional)
1 Rb 0.000 0.000 0.000
2 Sb 0.500 0.500 0.000
3 Te 0.000 0.500 0.500
4 Te 0.500 0.000 0.500
5 F 0.500 0.500 0.500

Properties
* total magnetization: 0.0 μB per formula unit
* final energy: -15.435 eV for the cell shown
* uncorrected formation energy: -0.44 eV per atom

***

The following is a DFT calculation (GGA-PBE) of crystalline Ca2EuPb at its relaxed geometry.

a b c (Å): 5.074 5.074 5.194
angles (deg): 90.00 90.00 90.00
Element x y z (fractional)
1 Ca 0.000 0.500 0.000
2 Ca 0.500 0.000 0.000
3 Eu 0.000 0.000 0.500
4 Pb 0.500 0.500 0.500

Properties
* total magnetization: 7.0 μB per formula unit
* final energy: -19.411 eV for the cell shown
* energy above the most stable polymorph in this dataset: 0 kJ/mol of formula units

***

The following is a DFT calculation (GGA-PBE) of crystalline LiInAg4 at its relaxed geometry.

a b c (Å): 5.315 5.315 4.793
angles (deg): 90.06 90.06 53.69
Element x y z (fractional)
1 Li 0.000 0.000 0.000
2 In 0.500 0.500 0.500
3 Ag 0.164 0.164 0.499
4 Ag 0.336 0.336 0.999
5 Ag 0.664 0.664 0.001
6 Ag 0.836 0.836 0.501

Properties
* total magnetization: 0.0 μB per formula unit
* final energy: -16.767 eV for the cell shown
* energy above the most stable polymorph in this dataset: 0 kJ/mol of formula units

***

The following is a DFT calculation (GGA-PBE) of crystalline Ca4InAu3 at its relaxed geometry.

a b c (Å): 3.631 5.285 10.491
angles (deg): 90.00 90.00 90.00
Element x y z (fractional)
1 Ca 0.000 0.000 0.000
2 Ca 0.000 0.000 0.500
3 Ca 0.000 0.500 0.237
4 Ca 0.000 0.500 0.763
5 In 0.500 0.500 0.500
6 Au 0.500 0.000 0.255
7 Au 0.500 0.000 0.745
8 Au 0.500 0.500 0.000

Properties
* total magnetization: 0.0 μB per formula unit
* final energy: -26.090 eV for the cell shown

***

The following is a DFT calculation (GGA-PBE) of crystalline PuP2Ru3 at its relaxed geometry.

a b c (Å): 7.892 7.892 7.101
angles (deg): 115.91 115.91 28.86
Element x y z (fractional)
1 Pu 0.156 0.156 0.069
2 Pu 0.844 0.844 0.931
3 P 0.189 0.189 0.677
4 P 0.480 0.480 0.825
5 P 0.520 0.520 0.175
6 P 0.811 0.811 0.323
7 Ru 0.039 0.039 0.366
8 Ru 0.317 0.317 0.582
9 Ru 0.405 0.405 0.322
10 Ru 0.595 0.595 0.678
11 Ru 0.683 0.683 0.418
12 Ru 0.961 0.961 0.634

Properties
* total magnetization: 4.9 μB per formula unit
* final energy: -113.554 eV for the cell shown

***

The following is a DFT calculation (GGA-PBE) of crystalline Na3Zn8Ga3 at its relaxed geometry.

a b c (Å): 8.294 8.294 8.294
angles (deg): 149.31 112.82 75.65
Element x y z (fractional)
1 Na 0.000 0.000 0.000
2 Na 0.303 0.303 0.000
3 Na 0.697 0.697 0.000
4 Zn 0.032 0.672 0.359
5 Zn 0.147 0.866 0.281
6 Zn 0.313 0.672 0.641
7 Zn 0.415 0.134 0.281
8 Zn 0.585 0.866 0.719
9 Zn 0.687 0.328 0.359
10 Zn 0.853 0.134 0.719
11 Zn 0.968 0.328 0.641
12 Ga 0.284 0.500 0.784
13 Ga 0.500 0.000 0.500
14 Ga 0.716 0.500 0.216

Properties
* total magnetization: 0.0 μB per formula unit
* final energy: -23.650 eV for the cell shown

***

The following is a DFT calculation (GGA-PBE) of crystalline CaMgCr at its relaxed geometry.

a b c (Å): 5.132 5.132 3.428
angles (deg): 90.00 90.00 120.00
Element x y z (fractional)
1 Ca 0.000 0.000 0.000
2 Mg 0.333 0.667 0.496
3 Cr 0.667 0.333 0.504

Properties
* total magnetization: 4.5 μB per formula unit
* final energy: -11.904 eV for the cell shown

***

The following is a DFT calculation (GGA-PBE) of crystalline MnFe6Si at its relaxed geometry.

a b c (Å): 6.173 6.173 10.064
angles (deg): 90.00 90.00 109.42
Element x y z (fractional)
1 Mn 0.000 0.000 0.248
2 Mn 0.000 0.000 0.752
3 Mn 0.245 0.755 0.000
4 Mn 0.755 0.245 0.000
5 Fe 0.000 0.000 0.000
6 Fe 0.000 0.000 0.500
7 Fe 0.126 0.376 0.125
8 Fe 0.126 0.376 0.875
9 Fe 0.127 0.376 0.375
10 Fe 0.127 0.376 0.625
11 Fe 0.249 0.751 0.250
12 Fe 0.249 0.751 0.750
13 Fe 0.376 0.126 0.125
14 Fe 0.376 0.126 0.875
15 Fe 0.376 0.127 0.375
16 Fe 0.376 0.127 0.625
17 Fe 0.500 0.500 0.000
18 Fe 0.500 0.500 0.500
19 Fe 0.624 0.873 0.375
20 Fe 0.624 0.873 0.625
21 Fe 0.624 0.874 0.125
22 Fe 0.624 0.874 0.875
23 Fe 0.751 0.249 0.250
24 Fe 0.751 0.249 0.750
25 Fe 0.873 0.624 0.375
26 Fe 0.873 0.624 0.625
27 Fe 0.874 0.624 0.125
28 Fe 0.874 0.624 0.875
29 Si 0.246 0.754 0.500
30 Si 0.500 0.500 0.247
31 Si 0.500 0.500 0.753
32 Si 0.754 0.246 0.500

Properties
* total magnetization: 8.5 μB per formula unit
* final energy: -265.562 eV for the cell shown
* uncorrected formation energy: -0.13 eV per atom